Record 1
KRbCdIn | Alexandria via LeMat-Bulk | PBE | relaxed; energy of formation from the pure elements = -0.067 eV/atom; energy relative to the lowest polymorph listed for this composition = 0 meV per atom; magnetic moment = 0.000 μB/atom; density of states at the Fermi level = 2.71 states/eV/cell
1.0
4.517 -2.609 0.000
4.517 2.609 0.000
-3.053 0.000 7.875
K Rb Cd In
1 1 1 1
direct
0.000 0.000 0.000
0.808 0.808 0.432
0.578 0.578 0.736
0.244 0.244 0.734



Record 2
NbSO6 | Alexandria via LeMat-Bulk | PBE | relaxed; raw formation energy = -107 kJ per mole of atoms; magnetic moment = 0.127 μB/atom; density of states at the Fermi level = 3.18 states/eV/cell
1.0
2.317 -4.683 0.000
2.317 4.683 0.000
-1.020 0.000 4.490
Nb S O
1 1 6
direct
0.000 0.000 0.000
0.500 0.500 0.500
0.173 0.421 0.290
0.268 0.268 0.725
0.421 0.173 0.290
0.579 0.827 0.710
0.732 0.732 0.275
0.827 0.579 0.710



Record 3
KPa2CuS6 | Alexandria via LeMat-Bulk | PBE | relaxed; raw formation energy = -107 kJ per mole of atoms; magnetic moment = 0.000 μB/atom
1.0
6.100 -7.399 0.000
6.100 7.399 0.000
-3.093 0.000 7.100
K Pa Cu S
2 4 2 12
direct
0.099 0.901 0.750
0.901 0.099 0.250
0.269 0.457 0.849
0.457 0.269 0.349
0.543 0.731 0.651
0.731 0.543 0.151
0.173 0.827 0.250
0.827 0.173 0.750
0.060 0.226 0.707
0.160 0.656 0.975
0.226 0.060 0.207
0.320 0.458 0.523
0.344 0.840 0.525
0.458 0.320 0.023
0.542 0.680 0.977
0.656 0.160 0.475
0.680 0.542 0.477
0.774 0.940 0.793
0.840 0.344 0.025
0.940 0.774 0.293



Record 4
LaPrTl | Alexandria via LeMat-Bulk | PBE | relaxed; energy of formation from the pure elements = -0.197 eV/atom; energy relative to the lowest polymorph listed for this composition = 87 meV per atom; magnetic moment = 0.000 μB/atom; density of states at the Fermi level = 2.20 states/eV/cell
1.0
5.364 0.000 0.000
-2.682 4.645 0.000
0.000 0.000 3.880
La Pr Tl
1 1 1
direct
0.000 0.000 0.000
0.667 0.333 0.603
0.333 0.667 0.340



Record 5
Y7Ho | Alexandria via LeMat-Bulk | PBE | relaxed; energy of formation from the pure elements = 0.043 eV/atom; energy relative to the lowest polymorph listed for this composition = 16 meV per atom; magnetic moment = 0.000 μB/atom; density of states at the Fermi level = 14.43 states/eV/cell
1.0
-1.771 5.588 6.520
1.771 -5.588 6.520
1.771 5.588 -6.520
Y Ho
7 1
direct
0.000 0.000 0.000
0.100 0.368 0.732
0.260 0.260 0.000
0.365 0.632 0.732
0.635 0.368 0.268
0.740 0.740 0.000
0.900 0.632 0.268
0.500 0.000 0.500



Record 6
MgBi2O4 | Alexandria via LeMat-Bulk | PBE | relaxed; energy relative to the lowest polymorph listed for this composition = 80 meV per atom; raw formation energy = -147 kJ per mole of atoms; magnetic moment = 0.000 μB/atom; density of states at the Fermi level = 0.00 states/eV/cell
1.0
-3.311 3.500 4.752
3.311 -3.500 4.752
3.311 3.500 -4.752
Mg Bi O
2 4 8
direct
0.500 0.000 0.000
0.500 0.500 0.500
0.000 0.000 0.000
0.118 0.368 0.750
0.500 0.000 0.500
0.882 0.632 0.250
0.269 0.263 0.495
0.269 0.774 0.005
0.288 0.247 0.041
0.295 0.753 0.541
0.705 0.247 0.459
0.712 0.753 0.959
0.731 0.226 0.995
0.731 0.737 0.505



Record 7
Dy4Ge8Ru | Alexandria via LeMat-Bulk | PBE | relaxed; energy of formation from the pure elements = -0.594 eV/atom; magnetic moment = 0.000 μB/atom; density of states at the Fermi level = 8.43 states/eV/cell
1.0
4.014 0.000 0.000
0.000 4.160 0.000
0.000 0.000 16.173
Dy Ge Ru
4 8 1
direct
0.000 0.000 0.000
0.000 0.500 0.487
0.500 0.000 0.790
0.500 0.500 0.285
0.000 0.000 0.332
0.000 0.000 0.622
0.000 0.500 0.140
0.000 0.500 0.855
0.500 0.000 0.145
0.500 0.000 0.438
0.500 0.500 0.620
0.500 0.500 0.957
0.000 0.500 0.705



Record 8
AcTmAlAg | Alexandria via LeMat-Bulk | PBE | relaxed; energy of formation from the pure elements = -0.227 eV/atom; magnetic moment = 0.000 μB/atom; density of states at the Fermi level = 3.48 states/eV/cell
1.0
0.000 3.804 3.804
3.804 0.000 3.804
3.804 3.804 0.000
Ac Tm Al Ag
1 1 1 1
direct
0.000 0.000 0.000
0.500 0.500 0.500
0.250 0.250 0.250
0.750 0.750 0.750



Record 9
Si2AuSe | Alexandria via LeMat-Bulk | PBE | relaxed; raw formation energy = 14 kJ per mole of atoms; magnetic moment = 0.000 μB/atom; density of states at the Fermi level = 0.30 states/eV/cell
1.0
6.390 -1.635 0.000
6.390 1.635 0.000
-0.324 0.000 3.892
Si Au Se
2 1 1
direct
0.000 0.000 0.000
0.638 0.638 0.256
0.450 0.450 0.499
0.237 0.237 0.587



Record 10
HoNpPa2P4 | Alexandria via LeMat-Bulk | PBE | relaxed; energy of formation from the pure elements = -1.281 eV/atom; magnetic moment = 0.536 μB/atom; density of states at the Fermi level = 12.80 states/eV/cell
1.0
6.853 0.000 0.000
0.000 3.975 0.000
-2.303 0.000 6.487
Ho Np Pa P
1 1 2 4
direct
0.000 0.000 0.000
0.000 0.500 0.500
0.500 0.000 0.500
0.500 0.500 0.000
0.250 0.000 0.750
0.251 0.500 0.251
0.749 0.500 0.749
0.750 0.000 0.250



Record 11
CoGe2WC | Alexandria via LeMat-Bulk | PBE | relaxed; energy of formation from the pure elements = 1.236 eV/atom; magnetic moment = 0.351 μB/atom; density of states at the Fermi level = 4.55 states/eV/cell
1.0
4.706 0.000 0.000
0.000 4.706 0.000
0.000 0.000 3.439
Co Ge W C
1 2 1 1
direct
0.000 0.000 0.000
0.000 0.500 0.000
0.500 0.000 0.000
0.500 0.500 0.500
0.000 0.000 0.500



Record 12
Tb2Dy2Y4Th | Alexandria via LeMat-Bulk | PBE | relaxed; energy of formation from the pure elements = 0.002 eV/atom; magnetic moment = 0.000 μB/atom; density of states at the Fermi level = 12.97 states/eV/cell
1.0
9.327 -1.800 0.000
9.327 1.800 0.000
-4.136 0.000 8.607
Tb Dy Y Th
2 2 4 1
direct
0.148 0.148 0.167
0.852 0.852 0.833
0.335 0.335 0.498
0.665 0.665 0.502
0.185 0.185 0.833
0.482 0.482 0.170
0.518 0.518 0.830
0.815 0.815 0.167
0.000 0.000 0.500



Record 13
Zr2PbBr | Alexandria via LeMat-Bulk | PBE | relaxed; raw formation energy = -25 kJ per mole of atoms; magnetic moment = 0.000 μB/atom; density of states at the Fermi level = 2.63 states/eV/cell
1.0
3.228 0.000 0.000
0.000 5.188 0.000
-1.605 0.000 5.740
Zr Pb Br
2 1 1
direct
0.000 0.000 0.000
0.350 0.500 0.700
0.741 0.000 0.485
0.050 0.500 0.102



Record 14
Tb2Dy3In4 | Alexandria via LeMat-Bulk | PBE | relaxed; energy of formation from the pure elements = -0.413 eV/atom; energy relative to the lowest polymorph listed for this composition = 0 meV per atom; magnetic moment = 0.000 μB/atom; density of states at the Fermi level = 7.84 states/eV/cell
1.0
4.570 -2.641 0.000
4.570 2.641 0.000
-0.016 0.000 10.251
Tb Dy In
2 3 4
direct
0.167 0.167 0.277
0.833 0.833 0.723
0.166 0.166 0.925
0.500 0.500 0.500
0.834 0.834 0.075
0.166 0.166 0.601
0.500 0.500 0.154
0.500 0.500 0.846
0.834 0.834 0.399



Record 15
Ho2ScPd | Alexandria via LeMat-Bulk | PBE | relaxed; energy of formation from the pure elements = -0.265 eV/atom; energy relative to the lowest polymorph listed for this composition = 174 meV per atom; magnetic moment = 0.112 μB/atom; density of states at the Fermi level = 4.23 states/eV/cell
1.0
1.772 1.023 9.497
-1.772 1.023 9.497
0.000 -2.046 9.497
Ho Sc Pd
2 1 1
direct
0.000 0.000 0.000
0.191 0.191 0.191
0.430 0.430 0.430
0.596 0.596 0.596